[1]
Mg2ScBi | SCAN | single point on PBEsol structure

abc: 5.817 6.676 6.676
angles: 79.06 64.17 64.17
Fractional positions:
Sc  0.250  0.500  0.500
Sc  0.500  0.000  0.000
Mg  0.099  0.026  0.526
Mg  0.651  0.974  0.474
Mg  0.375  0.526  0.974
Mg  0.875  0.474  0.026
Bi  0.750  0.500  0.500
Bi  0.000  0.000  0.000

Results
E_form ... -21 meV/atom

[2]
Sc2TeS | SCAN | single point on PBEsol structure

abc: 4.363 4.363 7.682
angles: 73.50 73.50 60.00
Fractional positions:
Sc  0.893  0.893  0.320
Sc  0.107  0.107  0.680
S  0.000  0.000  0.000
Te  0.500  0.500  0.500

Results
Excess energy over the best structure of this formula in the dataset ... 271 meV per atom

[3]
Ho12Si5S28 | SCAN | single point on PBEsol structure

abc: 9.599 11.125 11.138
angles: 60.85 64.46 64.42
Fractional positions:
Ho  0.136  0.424  0.209
Ho  0.132  0.961  0.686
Ho  0.223  0.200  0.929
Ho  0.227  0.679  0.458
Ho  0.650  0.244  0.973
Ho  0.633  0.727  0.509
Ho  0.873  0.537  0.812
Ho  0.856  0.067  0.300
Ho  0.776  0.810  0.048
Ho  0.782  0.302  0.571
Ho  0.363  0.769  0.009
Ho  0.349  0.257  0.524
Si  0.326  0.582  0.759
Si  0.342  0.074  0.249
Si  0.664  0.500  0.169
Si  0.669  0.999  0.666
Si  0.998  0.719  0.282
S  0.479  0.538  0.568
S  0.483  0.038  0.055
S  0.402  0.736  0.759
S  0.437  0.219  0.245
S  0.092  0.706  0.730
S  0.110  0.188  0.212
S  0.520  0.694  0.210
S  0.524  0.190  0.708
S  0.574  0.504  0.023
S  0.580  0.001  0.518
S  0.899  0.529  0.054
S  0.901  0.031  0.543
S  0.331  0.394  0.943
S  0.337  0.890  0.438
S  0.674  0.806  0.847
S  0.658  0.319  0.362
S  0.848  0.565  0.347
S  0.843  0.059  0.841
S  0.241  0.534  0.315
S  0.256  0.030  0.812
S  0.902  0.238  0.020
S  0.910  0.730  0.511
S  0.165  0.412  0.687
S  0.136  0.878  0.214
S  0.738  0.446  0.721
S  0.768  0.902  0.237
S  0.090  0.716  0.055
S  0.101  0.232  0.501

[4]
Rb3NCl | SCAN | single point on PBEsol structure

abc: 5.533 5.533 5.533
angles: 90.00 90.00 90.00
Fractional positions:
N  0.000  0.000  0.000
Rb  0.000  0.500  0.000
Rb  0.000  0.000  0.500
Rb  0.500  0.000  0.000
Cl  0.500  0.500  0.500

[5]
Ta2ZnBr | SCAN | single point on PBEsol structure

abc: 2.994 5.114 5.475
angles: 117.84 105.87 90.00
Fractional positions:
Br  0.000  0.500  0.000
Ta  0.747  0.747  0.493
Ta  0.253  0.253  0.507
Zn  0.500  0.000  0.000

Results
Excess energy over the best structure of this formula in the dataset ... 236 meV per atom

[6]
InNi | SCAN | single point on PBEsol structure

abc: 4.123 5.153 5.841
angles: 90.00 90.00 90.00
Fractional positions:
In  0.750  0.861  0.169
In  0.250  0.361  0.331
In  0.750  0.639  0.669
In  0.250  0.139  0.831
Ni  0.750  0.358  0.037
Ni  0.250  0.858  0.463
Ni  0.750  0.142  0.537
Ni  0.250  0.642  0.963

Results
E_form ... -60 meV/atom

[7]
LiTeW4 | SCAN | single point on PBEsol structure

abc: 5.325 5.325 5.325
angles: 60.00 60.00 60.00
Fractional positions:
Li  0.750  0.750  0.750
Te  0.000  0.000  0.000
W  0.377  0.377  0.377
W  0.377  0.377  0.869
W  0.869  0.377  0.377
W  0.377  0.869  0.377

[8]
Zr2BS2 | SCAN | single point on PBEsol structure

abc: 3.474 3.474 7.046
angles: 104.27 104.27 90.00
Fractional positions:
S  0.250  0.750  0.500
S  0.750  0.250  0.500
B  0.000  0.000  0.000
Zr  0.395  0.395  0.790
Zr  0.605  0.605  0.210

[9]
Li3MnB2O6 | SCAN | single point on PBEsol structure

abc: 5.112 6.071 7.559
angles: 107.49 90.21 90.90
Fractional positions:
Li  0.884  0.728  0.047
Li  0.116  0.272  0.953
Li  0.675  0.574  0.388
Li  0.325  0.426  0.612
Li  0.808  0.431  0.739
Li  0.192  0.569  0.261
Mn  0.582  0.923  0.718
Mn  0.418  0.077  0.282
B  0.139  0.842  0.620
B  0.861  0.158  0.380
B  0.664  0.324  0.058
B  0.336  0.676  0.942
O  0.764  0.988  0.228
O  0.236  0.012  0.772
O  0.273  0.803  0.125
O  0.727  0.197  0.875
O  0.882  0.797  0.576
O  0.118  0.203  0.424
O  0.344  0.714  0.516
O  0.656  0.286  0.484
O  0.858  0.465  0.158
O  0.142  0.535  0.842
O  0.581  0.686  0.867
O  0.419  0.314  0.133

[10]
Co2PBr | SCAN | single point on PBEsol structure

abc: 2.850 3.644 5.690
angles: 90.00 90.00 90.00
Fractional positions:
Br  0.000  0.500  0.500
Co  0.000  0.000  0.000
Co  0.500  0.000  0.500
P  0.500  0.500  0.000

Results
Excess energy over the best structure of this formula in the dataset ... 560 meV per atom

[11]
YSbW2 | SCAN | single point on PBEsol structure

abc: 3.327 4.566 6.182
angles: 100.21 90.00 111.37
Fractional positions:
Sb  0.739  0.478  0.196
W  0.990  0.980  0.968
W  0.263  0.526  0.825
Y  0.508  0.017  0.511

[12]
Li2Ca2Ta3O10 | SCAN | single point on PBEsol structure

abc: 3.950 3.950 13.348
angles: 98.51 98.51 90.00
Fractional positions:
Li  0.750  0.250  0.500
Li  0.250  0.750  0.500
Ca  0.585  0.585  0.170
Ca  0.415  0.415  0.830
Ta  0.155  0.155  0.310
Ta  0.000  0.000  0.000
Ta  0.845  0.845  0.690
O  0.645  0.145  0.290
O  0.227  0.227  0.455
O  0.773  0.773  0.545
O  0.500  0.000  0.000
O  0.145  0.645  0.290
O  0.000  0.500  0.000
O  0.075  0.075  0.151
O  0.925  0.925  0.849
O  0.855  0.355  0.710
O  0.355  0.855  0.710

Number 1: density 4.78 g cm⁻³, total energy -205.694 eV for the cell shown. Number 2: density 3.46 g cm⁻³, total energy -79.473 eV for the cell shown. Number 3: density 5.57 g cm⁻³, total energy -988.995 eV for the cell shown. Number 4: density 3.00 g cm⁻³, total energy -81.676 eV for the cell shown. Number 5: density 11.95 g cm⁻³, total energy -163.819 eV for the cell shown. Number 6: density 9.29 g cm⁻³, total energy -198.720 eV for the cell shown. Number 7: density 13.53 g cm⁻³, total energy -313.464 eV for the cell shown. Number 8: density 5.36 g cm⁻³, total energy -89.122 eV for the cell shown. Number 9: density 2.87 g cm⁻³, total energy -214.084 eV for the cell shown. Number 10: density 6.43 g cm⁻³, total energy -61.921 eV for the cell shown. Number 11: density 11.19 g cm⁻³, total energy -203.254 eV for the cell shown. Number 12: density 6.50 g cm⁻³, total energy -337.536 eV for the cell shown.